(1)
Si3IrPb | PBE | optimized geometry

Summary:
The density of states at the Fermi level is 3.95 states/eV/cell. The calculation puts the raw formation energy at 38 kJ per mole of atoms. For the mass density, the calculation gives 7.51 g cm⁻³. As for the crystal system: cubic. As for the symmetry: Pm-3m (221).

Cell lengths 4.7463, 4.7463, 4.7463 Å; angles 90.00, 90.00, 90.00 degrees
Closest atoms and distances in Å follow each position.
Element x y z (fractional)
Si (0.0000, 0.0000, 0.5000)  2 Ir 2.37
Si (0.0000, 0.5000, 0.0000)  2 Ir 2.37
Si (0.5000, 0.0000, 0.0000)  2 Ir 2.37
Ir (0.0000, 0.0000, 0.0000)  6 Si 2.37
Pb (0.5000, 0.5000, 0.5000)  12 Si 3.36

***

(2)
OsAu | PBE | optimized geometry

Summary:
The density of states at the Fermi level is 4.07 states/eV/cell. For the mass density, the calculation gives 20.12 g cm⁻³. As for the crystal system: orthorhombic. The total DFT energy (no corrections) is -6.659 eV/atom. As for the symmetry: Pmmn (59).

Cell lengths 2.7710, 4.5140, 5.1101 Å; angles 90.00, 90.00, 90.00 degrees
Closest atoms and distances in Å follow each position.
Element x y z (fractional)
Os (0.2500, 0.2500, 0.0733)  6 Os 2.75-2.77, 6 Au 2.82-2.99
Os (0.7500, 0.7500, 0.9267)  6 Os 2.75-2.77, 6 Au 2.82-2.99
Au (0.2500, 0.7500, 0.4082)  6 Au 2.77-2.81, 6 Os 2.82-2.99
Au (0.7500, 0.2500, 0.5918)  6 Au 2.77-2.81, 6 Os 2.82-2.99